VASP calculation (GGA+U) on crystalline K3Fe2P3O12 at its relaxed geometry.

Output
Its density is 2.9 g cm⁻³. The calculation puts the density of states at the Fermi level at 0.000 states/eV/f.u. The calculation puts the total magnetization at 9.91 μB per formula unit. Its total energy is -1062.52 eV per cell.

The structure in CIF format:
```
data_K3Fe2P3O12
_space_group_name_H-M_alt 'C 1 2/c 1'
_space_group_IT_number 15
_cell_length_a 16.5601
_cell_length_b 9.6051
_cell_length_c 17.0107
_cell_angle_alpha 90.00
_cell_angle_beta 118.44
_cell_angle_gamma 90.00
loop_
_space_group_symop_operation_xyz
'x,y,z'
'-x,-y,-z'
'-x,y,-z+1/2'
'x,-y,z+1/2'
'x+1/2,y+1/2,z'
'-x+1/2,-y+1/2,-z'
'-x+1/2,y+1/2,-z+1/2'
'x+1/2,-y+1/2,z+1/2'
loop_
_atom_site_label
_atom_site_fract_x
_atom_site_fract_y
_atom_site_fract_z
K1 0.0000 0.2236 0.2500
K2 0.0804 0.1112 0.6792
K3 0.2046 0.3689 0.5797
K4 0.2500 0.2500 0.0000
Fe1 0.0332 0.2552 0.0339
Fe2 0.1785 0.4899 0.8234
P1 0.0146 0.4753 0.8782
P2 0.1261 0.0266 0.4823
P3 0.1933 0.2683 0.1898
O1 0.0193 0.3589 0.5819
O2 0.0395 0.3868 0.4318
O3 0.0634 0.4889 0.2157
O4 0.0738 0.1301 0.5124
O5 0.0949 0.1251 0.9860
O6 0.1026 0.4213 0.8772
O7 0.1098 0.1719 0.1685
O8 0.1133 0.0562 0.3887
O9 0.1599 0.3628 0.1058
O10 0.2206 0.3172 0.7971
O11 0.2273 0.3502 0.2791
O12 0.2308 0.0401 0.5529
```